(1)
# MgSc2Fe (PBE-GGA, relaxed)
# * N(E_F): 0.228 states/eV per atom
# * DFT formation energy: 0.31 eV per atom
data_MgSc2Fe
_cell_length_a 6.0700
_cell_length_b 6.0700
_cell_length_c 6.0700
_cell_angle_alpha 103.01
_cell_angle_beta 103.01
_cell_angle_gamma 123.34
_symmetry_space_group_name_H-M 'P 1'
_symmetry_Int_Tables_number 1
loop_
_symmetry_equiv_pos_as_xyz
'x,y,z'
loop_
_atom_site_label
_atom_site_type_symbol
_atom_site_fract_x
_atom_site_fract_y
_atom_site_fract_z
Mg1 Mg 0.0000 0.0000 0.0000
Mg2 Mg 0.7500 0.2500 0.5000
Sc1 Sc 0.1978 0.6250 0.0728
Sc2 Sc 0.3750 0.4478 0.5728
Sc3 Sc 0.5522 0.1250 0.9272
Sc4 Sc 0.8750 0.8022 0.4272
Fe1 Fe 0.2500 0.7500 0.5000
Fe2 Fe 0.5000 0.5000 0.0000

---

(2)
# PaZn2Pd (PBE-GGA, relaxed)
# * N(E_F): 1.135 states/eV per atom
# * DFT formation energy: -0.33 eV per atom
# * relative energy among the computed polymorphs: 0.019 eV/atom
data_PaZn2Pd
_cell_length_a 10.3411
_cell_length_b 10.3411
_cell_length_c 4.4675
_cell_angle_alpha 90.00
_cell_angle_beta 90.00
_cell_angle_gamma 162.10
_symmetry_space_group_name_H-M 'P 1'
_symmetry_Int_Tables_number 1
loop_
_symmetry_equiv_pos_as_xyz
'x,y,z'
loop_
_atom_site_label
_atom_site_type_symbol
_atom_site_fract_x
_atom_site_fract_y
_atom_site_fract_z
Pa1 Pa 0.1023 0.8977 0.7500
Pa2 Pa 0.8977 0.1023 0.2500
Zn1 Zn 0.2610 0.7390 0.2500
Zn2 Zn 0.4706 0.5294 0.7500
Zn3 Zn 0.5294 0.4706 0.2500
Zn4 Zn 0.7390 0.2610 0.7500
Pd1 Pd 0.3421 0.6579 0.7500
Pd2 Pd 0.6579 0.3421 0.2500

---

(3)
# YSc2TlNi (PBE-GGA, relaxed)
# * N(E_F): 1.475 states/eV per atom
# * DFT formation energy: -0.16 eV per atom
data_YSc2TlNi
_cell_length_a 4.8850
_cell_length_b 4.8850
_cell_length_c 5.2537
_cell_angle_alpha 90.00
_cell_angle_beta 90.00
_cell_angle_gamma 90.00
_symmetry_space_group_name_H-M 'P 1'
_symmetry_Int_Tables_number 1
loop_
_symmetry_equiv_pos_as_xyz
'x,y,z'
loop_
_atom_site_label
_atom_site_type_symbol
_atom_site_fract_x
_atom_site_fract_y
_atom_site_fract_z
Y1 Y 0.0000 0.0000 0.0000
Sc1 Sc 0.0000 0.5000 0.5000
Sc2 Sc 0.5000 0.0000 0.5000
Tl1 Tl 0.5000 0.5000 0.0000
Ni1 Ni 0.0000 0.0000 0.5000

---

(4)
# FeI2BrN (PBE-GGA, relaxed)
# * N(E_F): 0.923 states/eV per atom
# * formation energy without anion corrections: 0.488 eV/atom
# * relative energy among the computed polymorphs: 0.000 eV/atom
data_FeI2BrN
_cell_length_a 5.6479
_cell_length_b 5.6479
_cell_length_c 3.4669
_cell_angle_alpha 90.00
_cell_angle_beta 90.00
_cell_angle_gamma 90.00
_symmetry_space_group_name_H-M 'P 1'
_symmetry_Int_Tables_number 1
loop_
_symmetry_equiv_pos_as_xyz
'x,y,z'
loop_
_atom_site_label
_atom_site_type_symbol
_atom_site_fract_x
_atom_site_fract_y
_atom_site_fract_z
Fe1 Fe 0.0000 0.0000 0.0000
I1 I 0.0000 0.5000 0.0000
I2 I 0.5000 0.0000 0.0000
Br1 Br 0.5000 0.5000 0.5000
N1 N 0.0000 0.0000 0.5000

---

(5)
# MgZn5Pd2 (PBE-GGA, relaxed)
# * N(E_F): 0.273 states/eV per atom
# * DFT formation energy: -0.33 eV per atom
# * relative energy among the computed polymorphs: 0.032 eV/atom
data_MgZn5Pd2
_cell_length_a 6.7649
_cell_length_b 6.7649
_cell_length_c 6.7649
_cell_angle_alpha 155.42
_cell_angle_beta 101.12
_cell_angle_gamma 84.13
_symmetry_space_group_name_H-M 'P 1'
_symmetry_Int_Tables_number 1
loop_
_symmetry_equiv_pos_as_xyz
'x,y,z'
loop_
_atom_site_label
_atom_site_type_symbol
_atom_site_fract_x
_atom_site_fract_y
_atom_site_fract_z
Mg1 Mg 0.0000 0.0000 0.0000
Zn1 Zn 0.1448 0.3655 0.7793
Zn2 Zn 0.4138 0.6345 0.7793
Zn3 Zn 0.5000 0.0000 0.5000
Zn4 Zn 0.5862 0.3655 0.2207
Zn5 Zn 0.8552 0.6345 0.2207
Pd1 Pd 0.2359 0.7359 0.5000
Pd2 Pd 0.7641 0.2641 0.5000

---

(6)
# YUN (PBE-GGA, relaxed)
# * N(E_F): 2.682 states/eV per atom
# * formation energy without anion corrections: 0.583 eV/atom
# * relative energy among the computed polymorphs: 1.381 eV/atom
data_YUN
_cell_length_a 5.0291
_cell_length_b 5.0291
_cell_length_c 5.0291
_cell_angle_alpha 126.01
_cell_angle_beta 126.01
_cell_angle_gamma 79.87
_symmetry_space_group_name_H-M 'P 1'
_symmetry_Int_Tables_number 1
loop_
_symmetry_equiv_pos_as_xyz
'x,y,z'
loop_
_atom_site_label
_atom_site_type_symbol
_atom_site_fract_x
_atom_site_fract_y
_atom_site_fract_z
Y1 Y 0.0000 0.0000 0.0000
U1 U 0.4691 0.4691 0.0000
N1 N 0.7211 0.7211 0.0000

---

(7)
# Tm2Al3V (PBE-GGA, relaxed)
# * N(E_F): 0.592 states/eV per atom
# * DFT formation energy: -0.38 eV per atom
data_Tm2Al3V
_cell_length_a 5.4536
_cell_length_b 5.4536
_cell_length_c 5.4536
_cell_angle_alpha 61.15
_cell_angle_beta 61.15
_cell_angle_gamma 61.15
_symmetry_space_group_name_H-M 'P 1'
_symmetry_Int_Tables_number 1
loop_
_symmetry_equiv_pos_as_xyz
'x,y,z'
loop_
_atom_site_label
_atom_site_type_symbol
_atom_site_fract_x
_atom_site_fract_y
_atom_site_fract_z
Tm1 Tm 0.1277 0.1277 0.1277
Tm2 Tm 0.8723 0.8723 0.8723
Al1 Al 0.0000 0.5000 0.5000
Al2 Al 0.5000 0.0000 0.5000
Al3 Al 0.5000 0.5000 0.0000
V1 V 0.5000 0.5000 0.5000

---

(8)
# Tm2SnTe5 (PBE-GGA, relaxed)
# * formation energy without anion corrections: -0.824 eV/atom
data_Tm2SnTe5
_cell_length_a 8.0589
_cell_length_b 8.0589
_cell_length_c 13.7740
_cell_angle_alpha 90.00
_cell_angle_beta 90.00
_cell_angle_gamma 134.99
_symmetry_space_group_name_H-M 'P 1'
_symmetry_Int_Tables_number 1
loop_
_symmetry_equiv_pos_as_xyz
'x,y,z'
loop_
_atom_site_label
_atom_site_type_symbol
_atom_site_fract_x
_atom_site_fract_y
_atom_site_fract_z
Tm1 Tm 0.1677 0.8323 0.5651
Tm2 Tm 0.1677 0.8323 0.9349
Tm3 Tm 0.8323 0.1677 0.0651
Tm4 Tm 0.8323 0.1677 0.4349
Sn1 Sn 0.1967 0.8033 0.2500
Sn2 Sn 0.8033 0.1967 0.7500
Te1 Te 0.0328 0.9672 0.1003
Te2 Te 0.0328 0.9672 0.3997
Te3 Te 0.2720 0.7280 0.7500
Te4 Te 0.3209 0.6791 0.0797
Te5 Te 0.3209 0.6791 0.4203
Te6 Te 0.6791 0.3209 0.5797
Te7 Te 0.6791 0.3209 0.9203
Te8 Te 0.7280 0.2720 0.2500
Te9 Te 0.9672 0.0328 0.6003
Te10 Te 0.9672 0.0328 0.8997

---

(9)
# Na2In4Pb (PBE-GGA, relaxed)
# * N(E_F): 0.643 states/eV per atom
# * DFT formation energy: 0.27 eV per atom
# * relative energy among the computed polymorphs: 0.163 eV/atom
data_Na2In4Pb
_cell_length_a 9.0681
_cell_length_b 9.0681
_cell_length_c 9.0681
_cell_angle_alpha 142.53
_cell_angle_beta 142.53
_cell_angle_gamma 54.03
_symmetry_space_group_name_H-M 'P 1'
_symmetry_Int_Tables_number 1
loop_
_symmetry_equiv_pos_as_xyz
'x,y,z'
loop_
_atom_site_label
_atom_site_type_symbol
_atom_site_fract_x
_atom_site_fract_y
_atom_site_fract_z
Na1 Na 0.1159 0.1159 0.0000
Na2 Na 0.8841 0.8841 0.0000
In1 In 0.0000 0.5000 0.5000
In2 In 0.3100 0.3100 0.0000
In3 In 0.5000 0.0000 0.5000
In4 In 0.6900 0.6900 0.0000
Pb1 Pb 0.5000 0.5000 0.0000

---

(10)
# ZrInAgRh2 (PBE-GGA, relaxed)
# * N(E_F): 0.712 states/eV per atom
# * DFT formation energy: 0.72 eV per atom
data_ZrInAgRh2
_cell_length_a 4.7860
_cell_length_b 4.7860
_cell_length_c 5.3336
_cell_angle_alpha 90.00
_cell_angle_beta 90.00
_cell_angle_gamma 90.00
_symmetry_space_group_name_H-M 'P 1'
_symmetry_Int_Tables_number 1
loop_
_symmetry_equiv_pos_as_xyz
'x,y,z'
loop_
_atom_site_label
_atom_site_type_symbol
_atom_site_fract_x
_atom_site_fract_y
_atom_site_fract_z
Zr1 Zr 0.0000 0.0000 0.0000
In1 In 0.5000 0.5000 0.5000
Ag1 Ag 0.0000 0.0000 0.5000
Rh1 Rh 0.0000 0.5000 0.0000
Rh2 Rh 0.5000 0.0000 0.0000

---

(11)
# TaZn2Mo (PBE-GGA, relaxed)
# * N(E_F): 0.270 states/eV per atom
# * DFT formation energy: 0.01 eV per atom
# * relative energy among the computed polymorphs: 0.000 eV/atom
data_TaZn2Mo
_cell_length_a 5.0353
_cell_length_b 5.0353
_cell_length_c 5.0353
_cell_angle_alpha 135.35
_cell_angle_beta 135.35
_cell_angle_gamma 64.98
_symmetry_space_group_name_H-M 'P 1'
_symmetry_Int_Tables_number 1
loop_
_symmetry_equiv_pos_as_xyz
'x,y,z'
loop_
_atom_site_label
_atom_site_type_symbol
_atom_site_fract_x
_atom_site_fract_y
_atom_site_fract_z
Ta1 Ta 0.0000 0.0000 0.0000
Zn1 Zn 0.2500 0.7500 0.5000
Zn2 Zn 0.7500 0.2500 0.5000
Mo1 Mo 0.5000 0.5000 0.0000

---

(12)
# Pr3Er2Th2 (PBE-GGA, relaxed)
# * N(E_F): 1.404 states/eV per atom
# * DFT formation energy: 0.19 eV per atom
data_Pr3Er2Th2
_cell_length_a 12.4998
_cell_length_b 12.4998
_cell_length_c 3.4581
_cell_angle_alpha 90.00
_cell_angle_beta 90.00
_cell_angle_gamma 154.09
_symmetry_space_group_name_H-M 'P 1'
_symmetry_Int_Tables_number 1
loop_
_symmetry_equiv_pos_as_xyz
'x,y,z'
loop_
_atom_site_label
_atom_site_type_symbol
_atom_site_fract_x
_atom_site_fract_y
_atom_site_fract_z
Pr1 Pr 0.0000 0.0000 0.0000
Pr2 Pr 0.2911 0.7089 0.0000
Pr3 Pr 0.7089 0.2911 0.0000
Er1 Er 0.4253 0.5747 0.5000
Er2 Er 0.5747 0.4253 0.5000
Th1 Th 0.1404 0.8596 0.0000
Th2 Th 0.8596 0.1404 0.0000

---

Number 1: E -5.370 eV/atom. Number 2: E -4.636 eV/atom. Number 3: E -5.613 eV/atom. Number 4: E -3.824 eV/atom. Number 5: E -2.620 eV/atom. Number 6: E -8.109 eV/atom. Number 7: E -5.260 eV/atom. Number 8: E -4.405 eV/atom. Number 9: E -2.197 eV/atom. Number 10: E -5.050 eV/atom. Number 11: E -6.295 eV/atom. Number 12: E -5.281 eV/atom.